Below is a relaxed Cd3In4Au4 crystal, with properties calculated at the PBE level.

```
Cd3In4Au4
1.0
3.2588 0.0000 0.0000
0.0000 9.0423 0.0000
-1.6294 -4.5212 8.2442
Cd In Au
3 4 4
direct
0.0891 0.0891 0.1783 Cd
0.9109 0.9109 0.8217 Cd
0.0000 0.5000 0.0000 Cd
0.3347 0.1377 0.6695 In
0.6653 0.4682 0.3305 In
0.6653 0.8623 0.3305 In
0.3347 0.5318 0.6695 In
0.2638 0.7638 0.5276 Au
0.7362 0.2362 0.4724 Au
0.5000 0.7659 0.0000 Au
0.5000 0.2341 0.0000 Au
```

Values from the calculation:
The raw total energy comes out at -28.44 eV per cell. The energy of formation is -1.6 eV/f.u. The calculation puts the density of states at the Fermi level at 2.553 states/eV/f.u. The space group is Immm, No. 71.